SmHO2: PBEsol geometry, meta-GGA SCAN.

Summary:
Total DFT energy (no corrections), eV per cell: -143.4
Total magnetic moment, μB/f.u.: 0.000
Fermi-level density of states, states/eV/f.u.: 0.00
Space-group type: No. 11

Cell lengths 4.3493, 3.7232, 6.1029 Å; angles 90.00, 108.63, 90.00 degrees
Fractional coordinates of all 8 atoms:
Sm  0.1665  0.2500  0.3089
Sm  0.8335  0.7500  0.6911
H  0.4844  0.7500  0.0737
H  0.5156  0.2500  0.9263
O  0.2544  0.7500  0.0607
O  0.2641  0.7500  0.5465
O  0.7359  0.2500  0.4535
O  0.7456  0.2500  0.9393